[1]
First-principles (GGA-PBE) data for a relaxed structure of SmRh4, as listed in Alexandria.

Cell lengths 4.8537, 4.8537, 4.8537 Å; angles 90.00, 90.00, 90.00 degrees
Last column: nearest neighbours and their distance in Å.
Sites, in units of the cell vectors:
Sm: 0.0000 0.0000 0.0000  6 Rh 2.43
Rh: 0.0000 0.0000 0.5000  2 Sm 2.43
Rh: 0.0000 0.5000 0.0000  2 Sm 2.43
Rh: 0.5000 0.0000 0.0000  2 Sm 2.43
Rh: 0.5000 0.5000 0.5000  12 Rh 3.43

Calculated values
As for the space group: Pm-3m, No. 221. As for the formation enthalpy at 0 K: 152.05 kJ per mole of atoms. The density of states at the Fermi level comes out at 7.72 states/eV per cell. Its total energy is -5.249 eV per atom.


[2]
First-principles (GGA-PBE) data for a relaxed structure of Sm3Rh, as listed in Alexandria.

Cell lengths 3.5118, 3.6932, 9.2949 Å; angles 90.00, 90.00, 90.00 degrees
Last column: nearest neighbours and their distance in Å.
Sites, in units of the cell vectors:
Sm: 0.0000 0.0000 0.0000  10 Sm 3.51-3.69
Sm: 0.0000 0.5000 0.3407  4 Rh 2.88
Sm: 0.5000 0.5000 0.7142  2 Rh 2.81
Rh: 0.5000 0.0000 0.4862  6 Sm 2.81-2.88

Calculated values
As for the space group: Pmm2, No. 25. As for the formation enthalpy at 0 K: -15.36 kJ per mole of atoms. The density of states at the Fermi level comes out at 4.54 states/eV per cell. Its total energy is -5.536 eV per atom.


[3]
First-principles (GGA-PBE) data for a relaxed structure of Sm5Rh6, as listed in Alexandria.

Cell lengths 8.3264, 8.3264, 8.3264 Å; angles 147.85, 127.74, 62.69 degrees
Last column: nearest neighbours and their distance in Å.
Sites, in units of the cell vectors:
Sm: 0.0000 0.0000 0.0000  8 Rh 2.80-2.97
Sm: 0.1808 0.6808 0.5000  8 Rh 2.87-3.02
Sm: 0.3677 0.3677 0.0000  6 Rh 2.80-3.04
Sm: 0.6323 0.6323 0.0000  6 Rh 2.80-3.04
Sm: 0.8192 0.3192 0.5000  8 Rh 2.87-3.02
Rh: 0.0696 0.8312 0.2384  6 Sm 2.87-3.04
Rh: 0.2170 0.5000 0.7170  6 Sm 2.80-3.02
Rh: 0.4073 0.1688 0.2384  6 Sm 2.87-3.04
Rh: 0.5927 0.8312 0.7616  6 Sm 2.87-3.04
Rh: 0.7830 0.5000 0.2830  6 Sm 2.80-3.02
Rh: 0.9304 0.1688 0.7616  6 Sm 2.87-3.04

Calculated values
As for the space group: Immm, No. 71. As for the formation enthalpy at 0 K: -52.42 kJ per mole of atoms. The density of states at the Fermi level comes out at 5.70 states/eV per cell. Its total energy is -6.698 eV per atom.


[4]
First-principles (GGA-PBE) data for a relaxed structure of Sm3Rh, as listed in Alexandria.

Cell lengths 7.2780, 9.8051, 6.4107 Å; angles 90.00, 90.00, 90.00 degrees
Last column: nearest neighbours and their distance in Å.
Sites, in units of the cell vectors:
Sm: 0.0356 0.2500 0.1435  2 Rh 2.84-2.93
Sm: 0.1765 0.0650 0.6694  2 Rh 2.90
Sm: 0.1765 0.4350 0.6694  2 Rh 2.90
Sm: 0.3235 0.5650 0.1694  2 Rh 2.90
Sm: 0.3235 0.9350 0.1694  2 Rh 2.90
Sm: 0.4644 0.7500 0.6435  2 Rh 2.84-2.93
Sm: 0.5356 0.2500 0.3565  2 Rh 2.84-2.93
Sm: 0.6765 0.0650 0.8306  2 Rh 2.90
Sm: 0.6765 0.4350 0.8306  2 Rh 2.90
Sm: 0.8235 0.5650 0.3306  2 Rh 2.90
Sm: 0.8235 0.9350 0.3306  2 Rh 2.90
Sm: 0.9644 0.7500 0.8565  2 Rh 2.84-2.93
Rh: 0.1202 0.7500 0.4352  6 Sm 2.84-2.93
Rh: 0.3798 0.2500 0.9352  6 Sm 2.84-2.93
Rh: 0.6202 0.7500 0.0648  6 Sm 2.84-2.93
Rh: 0.8798 0.2500 0.5648  6 Sm 2.84-2.93

Calculated values
As for the space group: Pnma, No. 62. As for the formation enthalpy at 0 K: -44.19 kJ per mole of atoms. The density of states at the Fermi level comes out at 18.51 states/eV per cell. Its total energy is -5.835 eV per atom.


[5]
First-principles (GGA-PBE) data for a relaxed structure of Sm4Rh3, as listed in Alexandria.

Cell lengths 8.5759, 8.5759, 8.5759 Å; angles 33.27, 33.27, 33.27 degrees
Last column: nearest neighbours and their distance in Å.
Sites, in units of the cell vectors:
Sm: 0.1244 0.1244 0.1244  7 Rh 3.00-3.05
Sm: 0.3751 0.3751 0.3751  5 Rh 3.01-3.04
Sm: 0.6249 0.6249 0.6249  5 Rh 3.01-3.04
Sm: 0.8756 0.8756 0.8756  7 Rh 3.00-3.05
Rh: 0.2499 0.2499 0.2499  8 Sm 3.00-3.05
Rh: 0.5000 0.5000 0.5000  8 Sm 3.01-3.03
Rh: 0.7501 0.7501 0.7501  8 Sm 3.00-3.05

Calculated values
As for the space group: R-3m, No. 166. As for the formation enthalpy at 0 K: -63.83 kJ per mole of atoms. The density of states at the Fermi level comes out at 3.00 states/eV per cell. Its total energy is -6.509 eV per atom.


[6]
First-principles (GGA-PBE) data for a relaxed structure of SmRh6, as listed in Alexandria.

Cell lengths 8.5118, 5.2268, 10.4765 Å; angles 90.00, 90.00, 90.00 degrees
Last column: nearest neighbours and their distance in Å.
Sites, in units of the cell vectors:
Sm: 0.2424 0.2500 0.0605  10 Rh 2.93-3.26
Sm: 0.2576 0.7500 0.5605  10 Rh 2.93-3.26
Sm: 0.7424 0.2500 0.4395  10 Rh 2.93-3.26
Sm: 0.7576 0.7500 0.9395  10 Rh 2.93-3.26
Rh: 0.0604 0.7500 0.0830  6 Rh 2.61-2.90
Rh: 0.0614 0.0056 0.3065  9 Rh 2.55-2.79
Rh: 0.0614 0.4944 0.3065  9 Rh 2.55-2.79
Rh: 0.1109 0.2500 0.5194  7 Rh 2.60-2.88
Rh: 0.1513 0.7500 0.8444  8 Rh 2.62-2.79
Rh: 0.1840 0.2500 0.7663  8 Rh 2.58-2.75
Rh: 0.3160 0.7500 0.2663  8 Rh 2.58-2.75
Rh: 0.3487 0.2500 0.3444  8 Rh 2.62-2.79
Rh: 0.3891 0.7500 0.0194  7 Rh 2.60-2.88
Rh: 0.4386 0.5056 0.8065  9 Rh 2.55-2.79
Rh: 0.4386 0.9944 0.8065  9 Rh 2.55-2.79
Rh: 0.4396 0.2500 0.5830  6 Rh 2.61-2.90
Rh: 0.5604 0.7500 0.4170  6 Rh 2.61-2.90
Rh: 0.5614 0.0056 0.1935  9 Rh 2.55-2.79
Rh: 0.5614 0.4944 0.1935  9 Rh 2.55-2.79
Rh: 0.6109 0.2500 0.9806  7 Rh 2.60-2.88
Rh: 0.6513 0.7500 0.6556  8 Rh 2.62-2.79
Rh: 0.6840 0.2500 0.7337  8 Rh 2.58-2.75
Rh: 0.8160 0.7500 0.2337  8 Rh 2.58-2.75
Rh: 0.8487 0.2500 0.1556  8 Rh 2.62-2.79
Rh: 0.8891 0.7500 0.4806  7 Rh 2.60-2.88
Rh: 0.9386 0.5056 0.6935  9 Rh 2.55-2.79
Rh: 0.9386 0.9944 0.6935  9 Rh 2.55-2.79
Rh: 0.9396 0.2500 0.9170  6 Rh 2.61-2.90

Calculated values
As for the space group: Pnma, No. 62. As for the formation enthalpy at 0 K: -19.84 kJ per mole of atoms. The value obtained for the energy above the most stable polymorph in this dataset is 0.0000 eV/atom. The density of states at the Fermi level comes out at 42.76 states/eV per cell. Its total energy is -7.181 eV per atom.


[7]
First-principles (GGA-PBE) data for a relaxed structure of Sm5Rh, as listed in Alexandria.

Cell lengths 3.7927, 16.7736, 5.6785 Å; angles 90.00, 90.00, 90.00 degrees
Last column: nearest neighbours and their distance in Å.
Sites, in units of the cell vectors:
Sm: 0.0000 0.0000 0.0000  10 Sm 3.40-3.79, 4 Rh 3.41
Sm: 0.0000 0.1286 0.5000  2 Rh 2.87
Sm: 0.0000 0.3315 0.0000  8 Sm 3.33-3.48
Sm: 0.0000 0.6685 0.0000  8 Sm 3.33-3.48
Sm: 0.0000 0.8714 0.5000  2 Rh 2.87
Sm: 0.5000 0.1685 0.0000  8 Sm 3.33-3.48
Sm: 0.5000 0.3714 0.5000  2 Rh 2.87
Sm: 0.5000 0.5000 0.0000  10 Sm 3.40-3.79, 4 Rh 3.41
Sm: 0.5000 0.6286 0.5000  2 Rh 2.87
Sm: 0.5000 0.8315 0.0000  8 Sm 3.33-3.48
Rh: 0.0000 0.5000 0.5000  4 Sm 2.87
Rh: 0.5000 0.0000 0.5000  4 Sm 2.87

Calculated values
As for the space group: Cmmm, No. 65. As for the formation enthalpy at 0 K: -10.43 kJ per mole of atoms. The density of states at the Fermi level comes out at 16.95 states/eV per cell. Its total energy is -5.266 eV per atom.


[8]
First-principles (GGA-PBE) data for a relaxed structure of Sm3Rh, as listed in Alexandria.

Cell lengths 11.8180, 11.8180, 6.4376 Å; angles 90.00, 90.00, 90.00 degrees
Last column: nearest neighbours and their distance in Å.
Sites, in units of the cell vectors:
Sm: 0.0357 0.9072 0.1991  2 Rh 2.81-2.86
Sm: 0.0928 0.5357 0.6991  2 Rh 2.81-2.86
Sm: 0.1145 0.8311 0.6940  1 Rh 3.03
Sm: 0.1190 0.3097 0.0201  3 Rh 2.83-3.17
Sm: 0.1689 0.6145 0.1940  1 Rh 3.03
Sm: 0.1903 0.1190 0.4799  3 Rh 2.83-3.17
Sm: 0.3097 0.3810 0.4799  3 Rh 2.83-3.17
Sm: 0.3311 0.8855 0.1940  1 Rh 3.03
Sm: 0.3810 0.1903 0.0201  3 Rh 2.83-3.17
Sm: 0.3855 0.6689 0.6940  1 Rh 3.03
Sm: 0.4072 0.9643 0.6991  2 Rh 2.81-2.86
Sm: 0.4643 0.5928 0.1991  2 Rh 2.81-2.86
Sm: 0.5357 0.4072 0.8009  2 Rh 2.81-2.86
Sm: 0.5928 0.0357 0.3009  2 Rh 2.81-2.86
Sm: 0.6145 0.3311 0.3060  1 Rh 3.03
Sm: 0.6190 0.8097 0.9799  3 Rh 2.83-3.17
Sm: 0.6689 0.1145 0.8060  1 Rh 3.03
Sm: 0.6903 0.6190 0.5201  3 Rh 2.83-3.17
Sm: 0.8097 0.8810 0.5201  3 Rh 2.83-3.17
Sm: 0.8311 0.3855 0.8060  1 Rh 3.03
Sm: 0.8810 0.6903 0.9799  3 Rh 2.83-3.17
Sm: 0.8855 0.1689 0.3060  1 Rh 3.03
Sm: 0.9072 0.4643 0.3009  2 Rh 2.81-2.86
Sm: 0.9643 0.0928 0.8009  2 Rh 2.81-2.86
Rh: 0.0629 0.3212 0.5004  5 Sm 2.81-3.03
Rh: 0.1788 0.0629 0.9996  5 Sm 2.81-3.03
Rh: 0.3212 0.4371 0.9996  5 Sm 2.81-3.03
Rh: 0.4371 0.1788 0.5004  5 Sm 2.81-3.03
Rh: 0.5629 0.8212 0.4996  5 Sm 2.81-3.03
Rh: 0.6788 0.5629 0.0004  5 Sm 2.81-3.03
Rh: 0.8212 0.9371 0.0004  5 Sm 2.81-3.03
Rh: 0.9371 0.6788 0.4996  5 Sm 2.81-3.03

Calculated values
As for the space group: P4_2/n, No. 86. As for the formation enthalpy at 0 K: -37.84 kJ per mole of atoms. The density of states at the Fermi level comes out at 32.69 states/eV per cell. Its total energy is -5.769 eV per atom.


[9]
First-principles (GGA-PBE) data for a relaxed structure of SmRh2, as listed in Alexandria.

Cell lengths 5.3871, 5.3871, 5.3871 Å; angles 60.00, 60.00, 60.00 degrees
Last column: nearest neighbours and their distance in Å.
Sites, in units of the cell vectors:
Sm: 0.1250 0.1250 0.1250  12 Rh 3.16, 4 Sm 3.30
Sm: 0.8750 0.8750 0.8750  12 Rh 3.16, 4 Sm 3.30
Rh: 0.0000 0.5000 0.5000  6 Rh 2.69
Rh: 0.5000 0.0000 0.5000  6 Rh 2.69
Rh: 0.5000 0.5000 0.0000  6 Rh 2.69
Rh: 0.5000 0.5000 0.5000  6 Rh 2.69

Calculated values
As for the space group: Fd-3m, No. 227. As for the formation enthalpy at 0 K: -67.44 kJ per mole of atoms. The density of states at the Fermi level comes out at 3.06 states/eV per cell. Its total energy is -7.173 eV per atom.


[10]
First-principles (GGA-PBE) data for a relaxed structure of SmSn3Rh2, as listed in Alexandria.

Cell lengths 6.6310, 6.6310, 5.8085 Å; angles 90.10, 90.10, 94.91 degrees
Last column: nearest neighbours and their distance in Å.
Sites, in units of the cell vectors:
Sm: 0.0876 0.0876 0.2507  3 Sn 3.02-3.33, 4 Rh 3.11-3.12, 2 Sm 3.30-3.31
Sm: 0.9124 0.9124 0.7493  3 Sn 3.02-3.33, 4 Rh 3.11-3.12, 2 Sm 3.30-3.31
Sn: 0.0765 0.4005 0.7502  4 Rh 2.79-2.84
Sn: 0.4005 0.0765 0.7502  4 Rh 2.79-2.84
Sn: 0.4247 0.4247 0.2489  4 Rh 2.76, 1 Sm 3.02
Sn: 0.5753 0.5753 0.7511  4 Rh 2.76, 1 Sm 3.02
Sn: 0.5995 0.9235 0.2498  4 Rh 2.79-2.84
Sn: 0.9235 0.5995 0.2498  4 Rh 2.79-2.84
Rh: 0.2696 0.7304 0.0000  6 Sn 2.76-2.83, 2 Rh 2.90
Rh: 0.2705 0.7295 0.5000  6 Sn 2.76-2.84, 2 Rh 2.90
Rh: 0.7304 0.2696 0.0000  6 Sn 2.76-2.83, 2 Rh 2.90
Rh: 0.7295 0.2705 0.5000  6 Sn 2.76-2.84, 2 Rh 2.90

Calculated values
As for the space group: C2/m, No. 12. As for the formation enthalpy at 0 K: -53.91 kJ per mole of atoms. The density of states at the Fermi level comes out at 6.27 states/eV per cell. Its total energy is -5.797 eV per atom.


[11]
First-principles (GGA-PBE) data for a relaxed structure of SmSn3Rh2, as listed in Alexandria.

Cell lengths 9.0614, 9.0614, 10.5874 Å; angles 103.08, 103.08, 27.72 degrees
Last column: nearest neighbours and their distance in Å.
Sites, in units of the cell vectors:
Sm: 0.0000 0.0000 0.0000  6 Rh 3.29-3.46, 10 Sn 3.45-3.67
Sm: 0.1441 0.1441 0.6846  8 Sn 3.25-3.57, 4 Rh 3.38-3.51
Sm: 0.8559 0.8559 0.3154  8 Sn 3.25-3.57, 4 Rh 3.38-3.51
Sn: 0.0522 0.0522 0.3467  4 Rh 2.60-2.74
Sn: 0.2297 0.2297 0.3688  4 Rh 2.64-2.94
Sn: 0.3511 0.3511 0.0850  4 Rh 2.59-2.83, 1 Sn 2.86
Sn: 0.3640 0.3640 0.8210  4 Rh 2.71-2.76, 1 Sn 2.86
Sn: 0.5000 0.5000 0.5000  4 Rh 2.75-2.83, 4 Sn 2.98
Sn: 0.6360 0.6360 0.1790  4 Rh 2.71-2.76, 1 Sn 2.86
Sn: 0.6489 0.6489 0.9150  4 Rh 2.59-2.83, 1 Sn 2.86
Sn: 0.7703 0.7703 0.6312  4 Rh 2.64-2.94
Sn: 0.9478 0.9478 0.6533  4 Rh 2.60-2.74
Rh: 0.2019 0.2019 0.0845  6 Sn 2.62-2.94
Rh: 0.3562 0.3562 0.5607  7 Sn 2.64-2.84
Rh: 0.4921 0.4921 0.2300  5 Sn 2.59-2.83
Rh: 0.5079 0.5079 0.7700  5 Sn 2.59-2.83
Rh: 0.6438 0.6438 0.4393  7 Sn 2.64-2.84
Rh: 0.7981 0.7981 0.9155  6 Sn 2.62-2.94

Calculated values
As for the space group: C2/m, No. 12. As for the formation enthalpy at 0 K: -54.95 kJ per mole of atoms. The density of states at the Fermi level comes out at 7.25 states/eV per cell. Its total energy is -5.808 eV per atom.